Entry 1:
Density functional theory data (PBE) for a relaxed structure of Ti2SbIrSe.

POSCAR file:
```
Ti2SbIrSe
1.0
4.9937 0.0000 0.0000
0.0000 4.9937 0.0000
0.0000 0.0000 4.8635
Ti Sb Ir Se
2 1 1 1
direct
0.0000 0.5000 0.0000
0.5000 0.0000 0.0000
0.0000 0.0000 0.5000
0.0000 0.0000 0.0000
0.5000 0.5000 0.5000
```



Entry 2:
Density functional theory data (PBE) for a relaxed structure of Si2SbIr2.

POSCAR file:
```
Si2SbIr2
1.0
-1.8851 1.8851 5.9556
1.8851 -1.8851 5.9556
1.8851 1.8851 -5.9556
Si Sb Ir
2 1 2
direct
0.2500 0.7500 0.5000
0.7500 0.2500 0.5000
0.0000 0.0000 0.0000
0.3733 0.3733 0.0000
0.6267 0.6267 0.0000
```

## Properties
ΔE to the lowest computed polymorph	0	meV per atom



Entry 3:
Density functional theory data (PBE) for a relaxed structure of SiSb2Ir.

POSCAR file:
```
SiSb2Ir
1.0
3.1437 -3.7137 0.0000
3.1437 3.7137 0.0000
-0.5306 0.0000 3.3984
Si Sb Ir
1 2 1
direct
0.0000 0.0000 0.0000
0.0000 0.5000 0.5000
0.5000 0.0000 0.5000
0.5000 0.5000 0.0000
```



Entry 4:
Density functional theory data (PBE) for a relaxed structure of SiSb2Ir.

POSCAR file:
```
SiSb2Ir
1.0
3.8510 -1.9008 0.0000
3.8510 1.9008 0.0000
-1.6177 0.0000 6.1833
Si Sb Ir
1 2 1
direct
0.0000 0.0000 0.0000
0.5605 0.5605 0.6854
0.8102 0.8102 0.2788
0.2920 0.2920 0.9399
```



Entry 5:
Density functional theory data (PBE) for a relaxed structure of SiSbIr2.

POSCAR file:
```
SiSbIr2
1.0
0.0000 3.1782 3.1782
3.1782 0.0000 3.1782
3.1782 3.1782 0.0000
Si Sb Ir
1 1 2
direct
0.0000 0.0000 0.0000
0.5000 0.5000 0.5000
0.2500 0.2500 0.2500
0.7500 0.7500 0.7500
```

## Properties
ΔE to the lowest computed polymorph	449	meV per atom



Entry 6:
Density functional theory data (PBE) for a relaxed structure of SiSb2Ir.

POSCAR file:
```
SiSb2Ir
1.0
-1.5797 2.3758 5.6535
1.5797 -2.3758 5.6535
1.5797 2.3758 -5.6535
Si Sb Ir
1 2 1
direct
0.0000 0.0000 0.0000
0.3157 0.8157 0.5000
0.6162 0.6162 0.0000
0.8343 0.3343 0.5000
```



Entry 7:
Density functional theory data (PBE) for a relaxed structure of SiSb4Ir.

POSCAR file:
```
SiSb4Ir
1.0
0.0000 4.2425 4.2425
4.2425 0.0000 4.2425
4.2425 4.2425 0.0000
Si Sb Ir
1 4 1
direct
0.0000 0.0000 0.0000
0.3747 0.3747 0.3747
0.3747 0.3747 0.8760
0.3747 0.8760 0.3747
0.8760 0.3747 0.3747
0.7500 0.7500 0.7500
```



Entry 8:
Density functional theory data (PBE) for a relaxed structure of SiSb2Ir.

POSCAR file:
```
SiSb2Ir
1.0
-2.2329 2.2329 3.9926
2.2329 -2.2329 3.9926
2.2329 2.2329 -3.9926
Si Sb Ir
1 2 1
direct
0.0000 0.0000 0.0000
0.5000 0.5000 0.0000
0.7500 0.2500 0.5000
0.2500 0.7500 0.5000
```



Entry 9:
Density functional theory data (PBE) for a relaxed structure of SiSbIr2.

POSCAR file:
```
SiSbIr2
1.0
3.8985 -1.7939 0.0000
3.8985 1.7939 0.0000
-1.2352 0.0000 5.0939
Si Sb Ir
1 1 2
direct
0.0000 0.0000 0.0000
0.8013 0.8013 0.4545
0.3080 0.3080 0.0662
0.5506 0.5506 0.7201
```

## Properties
ΔE to the lowest computed polymorph	45	meV per atom



Entry 10:
Density functional theory data (PBE) for a relaxed structure of SiSb2Ir.

POSCAR file:
```
SiSb2Ir
1.0
3.2985 0.0000 0.0000
0.0000 3.2985 0.0000
0.0000 0.0000 7.7871
Si Sb Ir
1 2 1
direct
0.0000 0.0000 0.0000
0.0000 0.0000 0.3684
0.5000 0.5000 0.7644
0.5000 0.5000 0.1272
```



Entry 11:
Density functional theory data (PBE) for a relaxed structure of SiSb2Ir.

POSCAR file:
```
SiSb2Ir
1.0
3.1648 -3.8240 0.0000
3.1648 3.8240 0.0000
0.0000 0.0000 3.2493
Si Sb Ir
1 2 1
direct
0.0000 0.0000 0.0000
0.0000 0.5000 0.5000
0.5000 0.0000 0.5000
0.5000 0.5000 0.0000
```



Entry 12:
Density functional theory data (PBE) for a relaxed structure of SiSbIr2.

POSCAR file:
```
SiSbIr2
1.0
-1.5054 1.7842 6.4405
1.5054 -1.7842 6.4405
1.5054 1.7842 -6.4405
Si Sb Ir
1 1 2
direct
0.0000 0.0000 0.0000
0.7510 0.2510 0.5000
0.3711 0.8711 0.5000
0.5666 0.5666 0.0000
```

## Properties
ΔE to the lowest computed polymorph	112	meV per atom



Number 1: electronic total energy -6.18 eV per atom, ΔE_f (raw) 268 meV/atom. Number 2: electronic total energy -6.95 eV per atom, ΔE_f (raw) -409 meV/atom. Number 3: electronic total energy -5.18 eV per atom, ΔE_f (raw) 449 meV/atom. Number 4: electronic total energy -5.72 eV per atom, ΔE_f (raw) -92 meV/atom. Number 5: electronic total energy -6.64 eV per atom, ΔE_f (raw) 177 meV/atom. Number 6: electronic total energy -5.42 eV per atom, ΔE_f (raw) 215 meV/atom. Number 7: electronic total energy -4.00 eV per atom, ΔE_f (raw) 1127 meV/atom. Number 8: electronic total energy -5.13 eV per atom, ΔE_f (raw) 502 meV/atom. Number 9: electronic total energy -7.04 eV per atom, ΔE_f (raw) -228 meV/atom. Number 10: electronic total energy -5.59 eV per atom, ΔE_f (raw) 40 meV/atom. Number 11: electronic total energy -5.18 eV per atom, ΔE_f (raw) 448 meV/atom. Number 12: electronic total energy -6.98 eV per atom, ΔE_f (raw) -161 meV/atom.